No. 1
The following is a PBEsol calculation of an optimized crystal structure of YIr2, from Alexandria.

DFT formation energy   0.243 eV per atom
SG   P-3m1 (164)
Fermi-level density of states   0.82 states/eV/atom

Unit cell a=2.851 b=2.851 c=7.151 alpha=90.00 beta=90.00 gamma=120.00
Positions (direct):
Y: 0.000 0.000 0.000
Ir: 0.333 0.667 0.651
Ir: 0.667 0.333 0.349

No. 2
The following is a PBEsol calculation of an optimized crystal structure of YZnIr3, from Alexandria.

DFT formation energy   0.552 eV per atom
SG   Pm-3m (221)
Fermi-level density of states   0.89 states/eV/atom

Unit cell a=4.509 b=4.509 c=4.509 alpha=90.00 beta=90.00 gamma=90.00
Positions (direct):
Y: 0.000 0.000 0.000
Zn: 0.500 0.500 0.500
Ir: 0.000 0.500 0.500
Ir: 0.500 0.000 0.500
Ir: 0.500 0.500 0.000

No. 3
The following is a PBEsol calculation of an optimized crystal structure of YZnIr2, from Alexandria.

DFT formation energy   0.202 eV per atom
SG   R3m (160)
Fermi-level density of states   0.97 states/eV/atom

Unit cell a=2.822 b=2.822 c=28.396 alpha=90.00 beta=90.00 gamma=120.00
Positions (direct):
Y: 0.000 0.000 0.000
Y: 0.333 0.667 0.667
Y: 0.667 0.333 0.333
Zn: 0.000 0.000 0.762
Zn: 0.333 0.667 0.428
Zn: 0.667 0.333 0.095
Ir: 0.000 0.000 0.244
Ir: 0.000 0.000 0.502
Ir: 0.333 0.667 0.169
Ir: 0.333 0.667 0.911
Ir: 0.667 0.333 0.577
Ir: 0.667 0.333 0.835

No. 4
The following is a PBEsol calculation of an optimized crystal structure of YZn4Ir, from Alexandria.

DFT formation energy   -0.451 eV per atom
SG   F-43m (216)

Unit cell a=5.029 b=5.029 c=5.029 alpha=60.00 beta=60.00 gamma=60.00
Positions (direct):
Y: 0.000 0.000 0.000
Zn: 0.128 0.624 0.624
Zn: 0.624 0.128 0.624
Zn: 0.624 0.624 0.128
Zn: 0.624 0.624 0.624
Ir: 0.250 0.250 0.250

No. 5
The following is a PBEsol calculation of an optimized crystal structure of YZn2Ir2, from Alexandria.

DFT formation energy   -0.396 eV per atom
SG   I4/mmm (139)
Fermi-level density of states   0.42 states/eV/atom

Unit cell a=3.970 b=3.970 c=11.131 alpha=90.00 beta=90.00 gamma=90.00
Positions (direct):
Y: 0.000 0.000 0.000
Y: 0.500 0.500 0.500
Zn: 0.000 0.500 0.250
Zn: 0.000 0.500 0.750
Zn: 0.500 0.000 0.250
Zn: 0.500 0.000 0.750
Ir: 0.000 0.000 0.390
Ir: 0.000 0.000 0.610
Ir: 0.500 0.500 0.110
Ir: 0.500 0.500 0.890

No. 6
The following is a PBEsol calculation of an optimized crystal structure of YZnIr, from Alexandria.

DFT formation energy   -0.450 eV per atom
SG   I4mm (107)
Fermi-level density of states   0.38 states/eV/atom

Unit cell a=3.331 b=3.331 c=9.710 alpha=90.00 beta=90.00 gamma=90.00
Positions (direct):
Y: 0.000 0.000 0.000
Y: 0.500 0.500 0.500
Zn: 0.000 0.000 0.701
Zn: 0.500 0.500 0.201
Ir: 0.000 0.000 0.324
Ir: 0.500 0.500 0.824

No. 7
The following is a PBEsol calculation of an optimized crystal structure of YZnIr2, from Alexandria.

DFT formation energy   -0.163 eV per atom
SG   C2/m (12)
Fermi-level density of states   0.49 states/eV/atom

Unit cell a=5.694 b=8.951 c=2.871 alpha=90.00 beta=117.49 gamma=90.00
Positions (direct):
Y: 0.000 0.000 0.000
Y: 0.500 0.500 0.000
Zn: 0.000 0.500 0.000
Zn: 0.500 0.000 0.000
Ir: 0.250 0.250 0.500
Ir: 0.250 0.750 0.500
Ir: 0.750 0.250 0.500
Ir: 0.750 0.750 0.500

No. 8
The following is a PBEsol calculation of an optimized crystal structure of YZnIr, from Alexandria.

DFT formation energy   0.220 eV per atom
SG   F-43m (216)
Fermi-level density of states   0.08 states/eV/atom

Unit cell a=6.401 b=6.401 c=6.401 alpha=90.00 beta=90.00 gamma=90.00
Positions (direct):
Y: 0.000 0.000 0.000
Y: 0.000 0.500 0.500
Y: 0.500 0.000 0.500
Y: 0.500 0.500 0.000
Zn: 0.250 0.250 0.250
Zn: 0.250 0.750 0.750
Zn: 0.750 0.250 0.750
Zn: 0.750 0.750 0.250
Ir: 0.250 0.250 0.750
Ir: 0.250 0.750 0.250
Ir: 0.750 0.250 0.250
Ir: 0.750 0.750 0.750

No. 9
The following is a PBEsol calculation of an optimized crystal structure of Y3ZnIr, from Alexandria.

Energy relative to the lowest polymorph listed for this composition   0 meV per atom
DFT formation energy   -0.132 eV per atom
SG   Pm-3m (221)
Fermi-level density of states   1.06 states/eV/atom

Unit cell a=5.289 b=5.289 c=5.289 alpha=90.00 beta=90.00 gamma=90.00
Positions (direct):
Y: 0.000 0.000 0.500
Y: 0.000 0.500 0.000
Y: 0.500 0.000 0.000
Zn: 0.500 0.500 0.500
Ir: 0.000 0.000 0.000

No. 10
The following is a PBEsol calculation of an optimized crystal structure of YZrIr2, from Alexandria.

DFT formation energy   -0.757 eV per atom
SG   P4/mmm (123)
Fermi-level density of states   0.55 states/eV/atom

Unit cell a=4.788 b=4.788 c=3.190 alpha=90.00 beta=90.00 gamma=90.00
Positions (direct):
Y: 0.000 0.000 0.000
Zr: 0.500 0.500 0.000
Ir: 0.000 0.500 0.500
Ir: 0.500 0.000 0.500

No. 11
The following is a PBEsol calculation of an optimized crystal structure of YZrIr2, from Alexandria.

DFT formation energy   -0.806 eV per atom
SG   Pmmm (47)
Fermi-level density of states   0.58 states/eV/atom

Unit cell a=3.192 b=3.341 c=6.910 alpha=90.00 beta=90.00 gamma=90.00
Positions (direct):
Y: 0.000 0.000 0.000
Zr: 0.000 0.000 0.500
Ir: 0.500 0.500 0.273
Ir: 0.500 0.500 0.727

No. 12
The following is a PBEsol calculation of an optimized crystal structure of YZr2Ir, from Alexandria.

DFT formation energy   -0.369 eV per atom
SG   P4mm (99)
Fermi-level density of states   1.31 states/eV/atom

Unit cell a=3.332 b=3.332 c=7.667 alpha=90.00 beta=90.00 gamma=90.00
Positions (direct):
Y: 0.000 0.000 0.000
Zr: 0.000 0.000 0.572
Zr: 0.500 0.500 0.309
Ir: 0.500 0.500 0.763

No. 13
The following is a PBEsol calculation of an optimized crystal structure of ZnIr3, from Alexandria.

DFT formation energy   -0.003 eV per atom
SG   Pmmm (47)
Fermi-level density of states   0.85 states/eV/atom

Unit cell a=2.726 b=3.776 c=5.399 alpha=90.00 beta=90.00 gamma=90.00
Positions (direct):
Zn: 0.000 0.000 0.000
Ir: 0.000 0.000 0.500
Ir: 0.500 0.500 0.251
Ir: 0.500 0.500 0.749